Compound: BaSrInPb
Source: the Alexandria database
Functional: PBE
Structure: optimized geometry

Results
**Mass density**: 5713 kg/m³
**DOS at the Fermi energy**: 0.58 states/eV/atom
**Crystal system**: orthorhombic
**DFT total energy**: -0.1108 Ha/atom
**ΔE to the lowest computed polymorph**: 0 meV/atom
**ΔE_f**: -2.00 eV per formula unit

a = 4.8608 Å, b = 6.9273 Å, c = 6.9273 Å
α = 42.97°, β = 90.00°, γ = 90.00°
Closest atoms and distances in Å follow each position.
Element x y z (fractional)
Ba  0.0000  0.0000  0.0000  3 Pb 3.62-3.80, 4 In 3.63
Sr  0.5000  0.7240  0.7240  4 Pb 3.59, 3 In 3.66-3.80
In  0.5000  0.4290  0.4290  2 Pb 3.09
Pb  0.0000  0.2806  0.2806  2 In 3.09

***

Compound: GePb2Se2
Source: the Alexandria database
Functional: PBE
Structure: optimized geometry

Results
**Mass density**: 7756 kg/m³
**Energy relative to the elements, uncorrected**: 0.04 eV/f.u.
**DOS at the Fermi energy**: 0.52 states/eV/atom
**Crystal system**: tetragonal
**DFT total energy**: -0.1394 Ha/atom
**ΔE to the lowest computed polymorph**: 139 meV/atom

a = 8.1768 Å, b = 8.1768 Å, c = 4.1303 Å
α = 90.00°, β = 90.00°, γ = 90.00°
Closest atoms and distances in Å follow each position.
Element x y z (fractional)
Ge  0.0000  0.0000  0.0000  4 Pb 3.10
Ge  0.5000  0.5000  0.0000  4 Pb 3.10
Pb  0.1537  0.3463  0.0000  2 Se 2.93, 2 Ge 3.10
Pb  0.3463  0.8463  0.0000  2 Se 2.93, 2 Ge 3.10
Pb  0.6537  0.1537  0.0000  2 Se 2.93, 2 Ge 3.10
Pb  0.8463  0.6537  0.0000  2 Se 2.93, 2 Ge 3.10
Se  0.1663  0.6663  0.5000  2 Pb 2.93
Se  0.3337  0.1663  0.5000  2 Pb 2.93
Se  0.6663  0.8337  0.5000  2 Pb 2.93
Se  0.8337  0.3337  0.5000  2 Pb 2.93